The following is a DFT calculation (PBE) of MgPaCd after structural relaxation.

**Energy relative to the elements**: 0.0304 eV per atom

Cell: 3.120 3.120 8.349 Å, 90.00 90.00 120.00°
Element x y z (fractional)
Mg 0.000 0.000 0.000
Pa 0.333 0.667 0.654
Cd 0.667 0.333 0.311